[1]
DFT (PBE-GGA) results for a relaxed structure of Rb2ZrTc.

Cell lengths 5.502, 5.502, 5.502 Å; angles 60.00, 60.00, 60.00 degrees
Atoms (fractional coordinates):
Rb 0.250 0.250 0.250
Rb 0.750 0.750 0.750
Zr 0.000 0.000 0.000
Tc 0.500 0.500 0.500

## Properties
Energy (eV/atom): -2.945
E_form (meV per atom): 2268
Density (g cm⁻³): 5.08
SG: Fm-3m (225)
Relative energy among the computed polymorphs (meV per atom): 1045

[2]
DFT (PBE-GGA) results for a relaxed structure of RbZr3Tc.

Cell lengths 4.921, 4.921, 4.921 Å; angles 90.00, 90.00, 90.00 degrees
Atoms (fractional coordinates):
Rb 0.000 0.000 0.000
Zr 0.000 0.000 0.500
Zr 0.000 0.500 0.000
Zr 0.500 0.000 0.000
Tc 0.500 0.500 0.500

## Properties
Energy (eV/atom): -4.977
E_form (meV per atom): 2418
Density (g cm⁻³): 6.37
SG: Pm-3m (221)
Relative energy among the computed polymorphs (meV per atom): 1747

[3]
DFT (PBE-GGA) results for a relaxed structure of RbZr3Tc.

Cell lengths 5.226, 5.226, 5.226 Å; angles 90.00, 90.00, 90.00 degrees
Atoms (fractional coordinates):
Rb 0.000 0.000 0.000
Zr 0.000 0.500 0.500
Zr 0.500 0.000 0.500
Zr 0.500 0.500 0.000
Tc 0.500 0.500 0.500

## Properties
Energy (eV/atom): -6.724
E_form (meV per atom): 671
Density (g cm⁻³): 5.32
SG: Pm-3m (221)
Relative energy among the computed polymorphs (meV per atom): 0

[4]
DFT (PBE-GGA) results for a relaxed structure of RbTe.

Cell lengths 9.538, 9.538, 9.538 Å; angles 109.47, 109.47, 109.47 degrees
Atoms (fractional coordinates):
Rb 0.000 0.000 0.619
Rb 0.000 0.619 0.000
Rb 0.381 0.381 0.381
Rb 0.619 0.000 0.000
Te 0.000 0.000 0.242
Te 0.000 0.242 0.000
Te 0.242 0.000 0.000
Te 0.758 0.758 0.758

## Properties
Energy (eV/atom): -2.398
Formation energy from raw total energies (eV/atom): -0.34
Density (g cm⁻³): 2.12
SG: I-43m (217)

[5]
DFT (PBE-GGA) results for a relaxed structure of RbTe.

Cell lengths 11.443, 4.358, 10.568 Å; angles 90.00, 90.00, 90.00 degrees
Atoms (fractional coordinates):
Rb 0.000 0.004 0.000
Rb 0.158 0.000 0.451
Rb 0.342 0.000 0.951
Rb 0.500 0.996 0.500
Rb 0.658 0.000 0.951
Rb 0.842 0.000 0.451
Te 0.000 0.501 0.696
Te 0.230 0.500 0.190
Te 0.270 0.500 0.690
Te 0.500 0.499 0.196
Te 0.730 0.500 0.690
Te 0.770 0.500 0.190

## Properties
Energy (eV/atom): -2.759
Formation energy from raw total energies (eV/atom): -0.70
Density (g cm⁻³): 4.03
SG: Pmn2_1 (31)

[6]
DFT (PBE-GGA) results for a relaxed structure of Rb2Te3.

Cell lengths 6.065, 13.497, 5.900 Å; angles 90.00, 111.16, 90.00 degrees
Atoms (fractional coordinates):
Rb 0.163 0.105 0.361
Rb 0.163 0.395 0.861
Rb 0.837 0.605 0.139
Rb 0.837 0.895 0.639
Te 0.367 0.718 0.563
Te 0.367 0.782 0.063
Te 0.500 0.000 0.000
Te 0.500 0.500 0.500
Te 0.633 0.218 0.937
Te 0.633 0.282 0.437

## Properties
Energy (eV/atom): -2.947
Formation energy from raw total energies (eV/atom): -0.68
Density (g cm⁻³): 4.08
SG: P2_1/c (14)

[7]
DFT (PBE-GGA) results for a relaxed structure of RbTe.

Cell lengths 6.752, 7.502, 14.139 Å; angles 90.00, 90.00, 90.00 degrees
Atoms (fractional coordinates):
Rb 0.096 0.068 0.037
Rb 0.176 0.627 0.797
Rb 0.324 0.373 0.297
Rb 0.404 0.932 0.537
Rb 0.596 0.432 0.963
Rb 0.676 0.873 0.203
Rb 0.824 0.127 0.703
Rb 0.904 0.568 0.463
Te 0.081 0.573 0.067
Te 0.164 0.891 0.303
Te 0.336 0.109 0.803
Te 0.419 0.427 0.567
Te 0.581 0.927 0.933
Te 0.664 0.609 0.697
Te 0.836 0.391 0.197
Te 0.919 0.073 0.433

## Properties
Energy (eV/atom): -2.852
Formation energy from raw total energies (eV/atom): -0.80
Density (g cm⁻³): 3.95
SG: P2_12_12_1 (19)

[8]
DFT (PBE-GGA) results for a relaxed structure of RbTe.

Cell lengths 10.285, 10.285, 10.285 Å; angles 90.00, 90.00, 90.00 degrees
Atoms (fractional coordinates):
Rb 0.000 0.250 0.500
Rb 0.000 0.750 0.500
Rb 0.250 0.500 0.000
Rb 0.500 0.000 0.250
Rb 0.500 0.000 0.750
Rb 0.750 0.500 0.000
Te 0.000 0.500 0.250
Te 0.000 0.500 0.750
Te 0.250 0.000 0.500
Te 0.500 0.250 0.000
Te 0.500 0.750 0.000
Te 0.750 0.000 0.500

## Properties
Energy (eV/atom): -2.307
Formation energy from raw total energies (eV/atom): -0.25
Density (g cm⁻³): 1.95
SG: Pm-3n (223)

[9]
DFT (PBE-GGA) results for a relaxed structure of RbTe3.

Cell lengths 3.722, 4.537, 8.977 Å; angles 90.00, 90.00, 90.00 degrees
Atoms (fractional coordinates):
Rb 0.000 0.000 0.000
Te 0.000 0.500 0.656
Te 0.500 0.000 0.545
Te 0.500 0.500 0.248

## Properties
Energy (eV/atom): -2.762
Formation energy from raw total energies (eV/atom): -0.16
Density (g cm⁻³): 5.13
SG: Pmm2 (25)
Relative energy among the computed polymorphs (meV per atom): 244

[10]
DFT (PBE-GGA) results for a relaxed structure of RbTe.

Cell lengths 10.127, 10.127, 6.561 Å; angles 90.00, 90.00, 120.00 degrees
Atoms (fractional coordinates):
Rb 0.000 0.345 0.000
Rb 0.000 0.678 0.500
Rb 0.322 0.322 0.500
Rb 0.345 0.000 0.000
Rb 0.655 0.655 0.000
Rb 0.678 0.000 0.500
Te 0.000 0.000 0.216
Te 0.000 0.000 0.784
Te 0.333 0.667 0.283
Te 0.333 0.667 0.717
Te 0.667 0.333 0.283
Te 0.667 0.333 0.717

## Properties
Energy (eV/atom): -2.900
Formation energy from raw total energies (eV/atom): -0.85
Density (g cm⁻³): 3.64
SG: P-62m (189)

[11]
DFT (PBE-GGA) results for a relaxed structure of RbTe.

Cell lengths 7.424, 7.463, 13.177 Å; angles 90.00, 90.00, 90.00 degrees
Atoms (fractional coordinates):
Rb 0.153 0.180 0.121
Rb 0.154 0.676 0.879
Rb 0.346 0.324 0.379
Rb 0.347 0.820 0.621
Rb 0.653 0.320 0.879
Rb 0.654 0.824 0.121
Rb 0.846 0.176 0.621
Rb 0.847 0.680 0.379
Te 0.159 0.180 0.835
Te 0.160 0.684 0.165
Te 0.340 0.316 0.665
Te 0.341 0.820 0.335
Te 0.659 0.320 0.165
Te 0.660 0.816 0.835
Te 0.840 0.184 0.335
Te 0.841 0.680 0.665

## Properties
Energy (eV/atom): -2.846
Formation energy from raw total energies (eV/atom): -0.79
Density (g cm⁻³): 3.88
SG: P2_12_12_1 (19)

[12]
DFT (PBE-GGA) results for a relaxed structure of Rb5Te.

Cell lengths 10.138, 10.138, 6.036 Å; angles 90.00, 90.00, 144.42 degrees
Atoms (fractional coordinates):
Rb 0.000 0.000 0.000
Rb 0.144 0.856 0.500
Rb 0.355 0.645 0.000
Rb 0.645 0.355 0.000
Rb 0.856 0.144 0.500
Te 0.500 0.500 0.500

## Properties
Energy (eV/atom): -1.668
Formation energy from raw total energies (eV/atom): -0.34
Density (g cm⁻³): 2.55
SG: Cmmm (65)

[13]
DFT (PBE-GGA) results for a relaxed structure of RbTe.

Cell lengths 6.056, 6.179, 6.365 Å; angles 87.31, 64.68, 71.73 degrees
Atoms (fractional coordinates):
Rb 0.127 0.242 0.218
Rb 0.873 0.758 0.782
Te 0.474 0.230 0.571
Te 0.526 0.770 0.429

## Properties
Energy (eV/atom): -2.859
Formation energy from raw total energies (eV/atom): -0.80
Density (g cm⁻³): 3.48
SG: P-1 (2)

[14]
DFT (PBE-GGA) results for a relaxed structure of RbTe6.

Cell lengths 7.637, 7.637, 7.637 Å; angles 109.47, 109.47, 109.47 degrees
Atoms (fractional coordinates):
Rb 0.000 0.000 0.000
Te 0.250 0.500 0.750
Te 0.250 0.750 0.500
Te 0.500 0.250 0.750
Te 0.500 0.750 0.250
Te 0.750 0.250 0.500
Te 0.750 0.500 0.250

## Properties
Energy (eV/atom): -2.712
Formation energy from raw total energies (eV/atom): 0.12
Density (g cm⁻³): 4.12
SG: Im-3m (229)
Relative energy among the computed polymorphs (meV per atom): 368

[15]
DFT (PBE-GGA) results for a relaxed structure of RbTe6.

Cell lengths 7.147, 7.147, 12.664 Å; angles 109.01, 109.01, 61.94 degrees
Atoms (fractional coordinates):
Rb 0.119 0.881 0.750
Rb 0.881 0.119 0.250
Te 0.127 0.720 0.445
Te 0.258 0.376 0.910
Te 0.265 0.298 0.148
Te 0.280 0.873 0.055
Te 0.298 0.265 0.648
Te 0.376 0.258 0.410
Te 0.624 0.742 0.590
Te 0.702 0.735 0.352
Te 0.720 0.127 0.945
Te 0.735 0.702 0.852
Te 0.742 0.624 0.090
Te 0.873 0.280 0.555

## Properties
Energy (eV/atom): -3.080
Formation energy from raw total energies (eV/atom): -0.25
Density (g cm⁻³): 5.35
SG: C2/c (15)
Relative energy among the computed polymorphs (meV per atom): 0

[16]
DFT (PBE-GGA) results for a relaxed structure of RbTe.

Cell lengths 9.753, 8.443, 7.449 Å; angles 75.43, 56.91, 47.66 degrees
Atoms (fractional coordinates):
Rb 0.102 0.648 0.102
Rb 0.352 0.898 0.352
Rb 0.648 0.102 0.648
Rb 0.898 0.352 0.898
Te 0.198 0.552 0.552
Te 0.448 0.802 0.802
Te 0.552 0.198 0.198
Te 0.802 0.448 0.448

## Properties
Energy (eV/atom): -2.837
Formation energy from raw total energies (eV/atom): -0.78
Density (g cm⁻³): 3.79
SG: Fddd (70)

[17]
DFT (PBE-GGA) results for a relaxed structure of RbTe.

Cell lengths 5.956, 11.270, 4.938 Å; angles 90.00, 90.00, 90.00 degrees
Atoms (fractional coordinates):
Rb 0.178 0.134 0.000
Rb 0.322 0.634 0.000
Rb 0.678 0.366 0.000
Rb 0.822 0.866 0.000
Te 0.141 0.397 0.500
Te 0.359 0.897 0.500
Te 0.641 0.103 0.500
Te 0.859 0.603 0.500

## Properties
Energy (eV/atom): -2.874
Formation energy from raw total energies (eV/atom): -0.82
Density (g cm⁻³): 4.27
SG: Pbam (55)

[18]
DFT (PBE-GGA) results for a relaxed structure of RbTe.

Cell lengths 11.211, 11.211, 11.211 Å; angles 92.01, 92.01, 158.40 degrees
Atoms (fractional coordinates):
Rb 0.057 0.263 0.320
Rb 0.263 0.943 0.206
Rb 0.737 0.057 0.794
Rb 0.943 0.737 0.680
Te 0.171 0.733 0.904
Te 0.267 0.171 0.438
Te 0.733 0.829 0.562
Te 0.829 0.267 0.096

## Properties
Energy (eV/atom): -2.502
Formation energy from raw total energies (eV/atom): -0.45
Density (g cm⁻³): 2.78
SG: I4/m (87)

[19]
DFT (PBE-GGA) results for a relaxed structure of RbTe3.

Cell lengths 7.895, 7.895, 6.150 Å; angles 110.48, 110.48, 82.04 degrees
Atoms (fractional coordinates):
Rb 0.200 0.200 0.010
Rb 0.800 0.800 0.990
Te 0.122 0.677 0.568
Te 0.323 0.878 0.432
Te 0.436 0.436 0.719
Te 0.564 0.564 0.281
Te 0.677 0.122 0.568
Te 0.878 0.323 0.432

## Properties
Energy (eV/atom): -3.006
Formation energy from raw total energies (eV/atom): -0.41
Density (g cm⁻³): 4.62
SG: C2/m (12)
Relative energy among the computed polymorphs (meV per atom): 0

[20]
DFT (PBE-GGA) results for a relaxed structure of Rb2Te3.

Cell lengths 16.176, 10.923, 4.745 Å; angles 90.00, 90.00, 90.00 degrees
Atoms (fractional coordinates):
Rb 0.123 0.030 0.220
Rb 0.123 0.470 0.220
Rb 0.377 0.530 0.720
Rb 0.377 0.970 0.720
Rb 0.623 0.030 0.280
Rb 0.623 0.470 0.280
Rb 0.877 0.530 0.780
Rb 0.877 0.970 0.780
Te 0.016 0.250 0.699
Te 0.123 0.750 0.675
Te 0.240 0.250 0.786
Te 0.260 0.750 0.286
Te 0.377 0.250 0.175
Te 0.484 0.750 0.199
Te 0.516 0.250 0.801
Te 0.623 0.750 0.825
Te 0.740 0.250 0.714
Te 0.760 0.750 0.214
Te 0.877 0.250 0.325
Te 0.984 0.750 0.301

## Properties
Energy (eV/atom): -2.994
Formation energy from raw total energies (eV/atom): -0.72
Density (g cm⁻³): 4.39
SG: Pnma (62)

[21]
DFT (PBE-GGA) results for a relaxed structure of RbTe.

Cell lengths 6.544, 6.544, 5.901 Å; angles 90.00, 90.00, 129.05 degrees
Atoms (fractional coordinates):
Rb 0.143 0.857 0.750
Rb 0.857 0.143 0.250
Te 0.458 0.542 0.750
Te 0.542 0.458 0.250

## Properties
Energy (eV/atom): -2.831
Formation energy from raw total energies (eV/atom): -0.78
Density (g cm⁻³): 3.60
SG: Cmcm (63)